A relaxed structure of LaFePb2O4. Source: Alexandria via LeMat-Bulk, functional PBE with a Hubbard U.

Calculated values
M_tot ... 7.98 μB/cell
E ... -6.3177 eV/atom
SG ... Cmcm
DOS(E_F) ... 2.25 states/eV per cell

a b c (Å): 6.4641 6.4641 13.2790
angles (deg): 90.00 90.00 149.36
Atoms (fractional coordinates):
La1 0.0496 0.9504 0.7500
La2 0.9504 0.0496 0.2500
Fe1 0.2172 0.7828 0.2500
Fe2 0.7828 0.2172 0.7500
Pb1 0.3643 0.6357 0.5182
Pb2 0.3643 0.6357 0.9818
Pb3 0.6357 0.3643 0.0182
Pb4 0.6357 0.3643 0.4818
O1 0.0000 0.0000 0.0000
O2 0.0000 0.0000 0.5000
O3 0.3570 0.6430 0.1561
O4 0.3570 0.6430 0.3439
O5 0.3780 0.6220 0.7500
O6 0.6220 0.3780 0.2500
O7 0.6430 0.3570 0.6561
O8 0.6430 0.3570 0.8439